# 1
This record from Alexandria describes a relaxed Zn2Pd4Pt3 crystal. The functional is PBE.

Computed properties:
DFT total energy ... -4.901 eV per atom
Density of states at the Fermi level ... 8.773 states/eV/cell
Total magnetization ... 0.000 μB per formula unit
Space-group type ... C2/m, No. 12

Cell: 6.2737 6.2737 6.0550 Å, 107.94 107.94 37.02°
Sites, in units of the cell vectors:
Zn: 0.1622 0.1622 0.0030
Zn: 0.8378 0.8378 0.9970
Pd: 0.0547 0.0547 0.3313
Pd: 0.2765 0.2765 0.6765
Pd: 0.7235 0.7235 0.3235
Pd: 0.9453 0.9453 0.6687
Pt: 0.3843 0.3843 0.3207
Pt: 0.5000 0.5000 0.0000
Pt: 0.6157 0.6157 0.6793

# 2
This record from Alexandria describes a relaxed ZnPd2Pt crystal. The functional is PBE.

Computed properties:
DFT total energy ... -4.693 eV per atom
Density of states at the Fermi level ... 2.209 states/eV/cell
Total magnetization ... 0.000 μB per formula unit
Space-group type ... F-43m, No. 216

Cell: 4.4124 4.4124 4.4124 Å, 60.00 60.00 60.00°
Sites, in units of the cell vectors:
Zn: 0.0000 0.0000 0.0000
Pd: 0.2500 0.2500 0.2500
Pd: 0.5000 0.5000 0.5000
Pt: 0.7500 0.7500 0.7500

# 3
This record from Alexandria describes a relaxed Zn8Pd2Pt crystal. The functional is PBE.

Computed properties:
DFT total energy ... -2.655 eV per atom
Density of states at the Fermi level ... 2.918 states/eV/cell
Total magnetization ... 0.000 μB per formula unit
Space-group type ... C2/m, No. 12

Cell: 7.1171 7.1171 4.5557 Å, 104.23 104.23 122.16°
Sites, in units of the cell vectors:
Zn: 0.0992 0.3275 0.6507
Zn: 0.2073 0.7927 0.0000
Zn: 0.3275 0.0992 0.6507
Zn: 0.4169 0.4169 0.1954
Zn: 0.5831 0.5831 0.8046
Zn: 0.6725 0.9008 0.3493
Zn: 0.7927 0.2073 0.0000
Zn: 0.9008 0.6725 0.3493
Pd: 0.3036 0.6964 0.5000
Pd: 0.6964 0.3036 0.5000
Pt: 0.0000 0.0000 0.0000

# 4
This record from Alexandria describes a relaxed ZnPd8Pt3 crystal. The functional is PBE.

Computed properties:
DFT total energy ... -4.543 eV per atom
Density of states at the Fermi level ... 23.044 states/eV/cell
Total magnetization ... 0.000 μB per formula unit
Space-group type ... I-42m, No. 121

Cell: 6.7587 6.7587 6.7587 Å, 119.04 119.04 91.67°
Sites, in units of the cell vectors:
Zn: 0.0000 0.0000 0.0000
Pd: 0.0910 0.0910 0.7307
Pd: 0.2017 0.2017 0.4796
Pd: 0.2779 0.7983 0.0000
Pd: 0.3603 0.3603 0.2693
Pd: 0.6397 0.9090 0.0000
Pd: 0.7221 0.7221 0.5204
Pd: 0.7983 0.2779 0.0000
Pd: 0.9090 0.6397 0.0000
Pt: 0.2500 0.7500 0.5000
Pt: 0.5000 0.5000 0.0000
Pt: 0.7500 0.2500 0.5000

# 5
This record from Alexandria describes a relaxed ZnPd2Pt crystal. The functional is PBE.

Computed properties:
DFT total energy ... -4.441 eV per atom
Density of states at the Fermi level ... 4.969 states/eV/cell
Total magnetization ... 0.000 μB per formula unit
Space-group type ... I-42d, No. 122

Cell: 9.6734 9.6734 9.6734 Å, 157.61 157.61 31.87°
Sites, in units of the cell vectors:
Zn: 0.0000 0.0000 0.0000
Zn: 0.7500 0.2500 0.5000
Pd: 0.1236 0.6250 0.9986
Pd: 0.3750 0.3736 0.4986
Pd: 0.6264 0.1250 0.0014
Pd: 0.8750 0.8764 0.5014
Pt: 0.2500 0.7500 0.5000
Pt: 0.5000 0.5000 0.0000

# 6
This record from Alexandria describes a relaxed Zn2Pd2Pt7 crystal. The functional is PBE.

Computed properties:
DFT total energy ... -5.031 eV per atom
Density of states at the Fermi level ... 13.286 states/eV/cell
Total magnetization ... 0.000 μB per formula unit
Space-group type ... C2/m, No. 12

Cell: 6.2349 6.2349 4.8585 Å, 99.98 99.98 78.77°
Sites, in units of the cell vectors:
Zn: 0.2396 0.2396 0.2391
Zn: 0.7604 0.7604 0.7609
Pd: 0.1865 0.8135 0.0000
Pd: 0.8135 0.1865 0.0000
Pt: 0.0000 0.0000 0.5000
Pt: 0.0450 0.4051 0.7407
Pt: 0.4051 0.0450 0.7407
Pt: 0.4607 0.4607 0.7264
Pt: 0.5393 0.5393 0.2736
Pt: 0.5949 0.9550 0.2593
Pt: 0.9550 0.5949 0.2593

# 7
This record from Alexandria describes a relaxed Zn2Pd3Pt7 crystal. The functional is PBE.

Computed properties:
DFT total energy ... -5.200 eV per atom
Density of states at the Fermi level ... 15.821 states/eV/cell
Total magnetization ... 0.000 μB per formula unit
Space-group type ... P2/m, No. 10

Cell: 5.0572 2.7550 13.4523 Å, 90.00 95.89 90.00°
Sites, in units of the cell vectors:
Zn: 0.0374 0.0000 0.1730
Zn: 0.9626 0.0000 0.8270
Pd: 0.4463 0.5000 0.8389
Pd: 0.5000 0.0000 0.5000
Pd: 0.5537 0.5000 0.1611
Pt: 0.0000 0.5000 0.5000
Pt: 0.2312 0.0000 0.6682
Pt: 0.2518 0.0000 0.0082
Pt: 0.2674 0.5000 0.3272
Pt: 0.7326 0.5000 0.6728
Pt: 0.7482 0.0000 0.9918
Pt: 0.7688 0.0000 0.3318

# 8
This record from Alexandria describes a relaxed Zn2Pd8Pt crystal. The functional is PBE.

Computed properties:
DFT total energy ... -4.513 eV per atom
Density of states at the Fermi level ... 13.677 states/eV/cell
Total magnetization ... 0.000 μB per formula unit
Space-group type ... C2/m, No. 12

Cell: 6.9608 6.9608 4.6898 Å, 104.39 104.39 58.60°
Sites, in units of the cell vectors:
Zn: 0.1358 0.1358 0.0186
Zn: 0.8642 0.8642 0.9814
Pd: 0.2266 0.2266 0.5762
Pd: 0.2306 0.6252 0.7230
Pd: 0.3605 0.3605 0.1751
Pd: 0.3748 0.7694 0.2770
Pd: 0.6252 0.2306 0.7230
Pd: 0.6395 0.6395 0.8249
Pd: 0.7694 0.3748 0.2770
Pd: 0.7734 0.7734 0.4238
Pt: 0.0000 0.0000 0.5000

# 9
This record from Alexandria describes a relaxed Zn2Pd3Pt crystal. The functional is PBE.

Computed properties:
DFT total energy ... -4.337 eV per atom
Density of states at the Fermi level ... 5.649 states/eV/cell
Total magnetization ... 0.000 μB per formula unit
Space-group type ... C2/m, No. 12

Cell: 7.0925 7.0925 10.5598 Å, 115.78 115.78 22.70°
Sites, in units of the cell vectors:
Zn: 0.1363 0.1363 0.4572
Zn: 0.3199 0.3199 0.1202
Zn: 0.6801 0.6801 0.8798
Zn: 0.8637 0.8637 0.5428
Pd: 0.1094 0.1094 0.0299
Pd: 0.2444 0.2444 0.3159
Pd: 0.4562 0.4562 0.7837
Pd: 0.5438 0.5438 0.2163
Pd: 0.7556 0.7556 0.6841
Pd: 0.8906 0.8906 0.9701
Pt: 0.0703 0.0703 0.6525
Pt: 0.9297 0.9297 0.3475

# 10
This record from Alexandria describes a relaxed ZnPdPt crystal. The functional is PBE.

Computed properties:
DFT total energy ... -4.578 eV per atom
Density of states at the Fermi level ... 4.257 states/eV/cell
Total magnetization ... 0.000 μB per formula unit
Space-group type ... Cm, No. 8

Cell: 4.6615 4.6615 5.4856 Å, 101.71 101.71 50.75°
Sites, in units of the cell vectors:
Zn: 0.0000 0.0000 0.0000
Zn: 0.6847 0.6847 0.3637
Pd: 0.3435 0.3435 0.1809
Pd: 0.6698 0.6698 0.8629
Pt: 0.0148 0.0148 0.5019
Pt: 0.3418 0.3418 0.6807

# 11
This record from Alexandria describes a relaxed Zn5PdPt6 crystal. The functional is PBE.

Computed properties:
DFT total energy ... -4.485 eV per atom
Density of states at the Fermi level ... 4.223 states/eV/cell
Total magnetization ... 0.000 μB per formula unit
Space-group type ... Immm, No. 71

Cell: 7.3178 7.3178 7.3178 Å, 147.79 120.54 69.25°
Sites, in units of the cell vectors:
Zn: 0.0000 0.0000 0.0000
Zn: 0.1733 0.6733 0.5000
Zn: 0.3448 0.3448 0.0000
Zn: 0.6552 0.6552 0.0000
Zn: 0.8267 0.3267 0.5000
Pd: 0.5000 0.0000 0.5000
Pt: 0.0694 0.8312 0.2382
Pt: 0.2321 0.5000 0.7321
Pt: 0.4070 0.1688 0.2382
Pt: 0.5930 0.8312 0.7618
Pt: 0.7679 0.5000 0.2679
Pt: 0.9306 0.1688 0.7618

# 12
This record from Alexandria describes a relaxed Zn2PdPt3 crystal. The functional is PBE.

Computed properties:
DFT total energy ... -4.583 eV per atom
Density of states at the Fermi level ... 6.966 states/eV/cell
Total magnetization ... 0.000 μB per formula unit
Space-group type ... C2/m, No. 12

Cell: 6.5404 6.5404 7.2502 Å, 115.33 115.33 41.54°
Sites, in units of the cell vectors:
Zn: 0.0351 0.0351 0.1968
Zn: 0.2899 0.2899 0.4416
Zn: 0.7101 0.7101 0.5584
Zn: 0.9649 0.9649 0.8032
Pd: 0.3735 0.3735 0.8632
Pd: 0.6265 0.6265 0.1368
Pt: 0.1264 0.1264 0.5910
Pt: 0.2014 0.2014 0.0268
Pt: 0.4588 0.4588 0.2891
Pt: 0.5412 0.5412 0.7109
Pt: 0.7986 0.7986 0.9732
Pt: 0.8736 0.8736 0.4090